(1)
## UTcPH (PBE)

Data for a relaxed UTcPH crystal.

a = 4.0434 Å, b = 4.0434 Å, c = 6.7052 Å
α = 90.00°, β = 90.00°, γ = 90.00°
With the nearest neighbours (Å) after each atom.
Sites, in units of the cell vectors:
P1 0.5000 0.0000 0.2003  4 Tc 2.43
H1 0.5000 0.5000 0.5000  4 U 2.29
Tc1 0.5000 0.5000 0.0000  4 P 2.43
U1 0.0000 0.5000 0.3410  4 H 2.29
Tc2 0.0000 0.0000 0.0000  4 P 2.43
H2 0.0000 0.0000 0.5000  4 U 2.29
P2 0.0000 0.5000 0.7997  4 Tc 2.43
U2 0.5000 0.0000 0.6590  4 H 2.29

Results
uncorrected energy: -65.51 eV/cell
SG: No. 129


(2)
## Y2Bi2S (PBE)

Data for a relaxed Y2Bi2S crystal.

a = 7.5655 Å, b = 7.5655 Å, c = 4.8840 Å
α = 90.00°, β = 90.00°, γ = 90.00°
With the nearest neighbours (Å) after each atom.
Sites, in units of the cell vectors:
Y1 0.3244 0.8244 0.0000  2 S 2.79
Bi1 0.1409 0.6409 0.5000  1 Bi 3.02, 2 Y 3.13
Bi2 0.6409 0.8591 0.5000  1 Bi 3.02, 2 Y 3.13
Bi3 0.8591 0.3591 0.5000  1 Bi 3.02, 2 Y 3.13
S1 0.5000 0.5000 0.0000  4 Y 2.79
Y2 0.6756 0.1756 0.0000  2 S 2.79
Y3 0.8244 0.6756 0.0000  2 S 2.79
Bi4 0.3591 0.1409 0.5000  1 Bi 3.02, 2 Y 3.13
S2 0.0000 0.0000 0.0000  4 Y 2.79
Y4 0.1756 0.3244 0.0000  2 S 2.79

Results
SG: No. 127
ΔE_f (raw): -936.5 meV/atom


(3)
## Sm3Ag4SnSe8 (PBE)

Data for a relaxed Sm3Ag4SnSe8 crystal.

a = 8.4602 Å, b = 8.0743 Å, c = 8.4586 Å
α = 121.65°, β = 120.01°, γ = 90.00°
With the nearest neighbours (Å) after each atom.
Sites, in units of the cell vectors:
Se1 0.2491 0.7536 0.0051  3 Ag 2.89-2.94, 1 Sn 2.91, 2 Sm 2.95
Se2 0.7508 0.2462 0.5016  3 Ag 2.90-2.93, 1 Sn 2.91, 2 Sm 2.95
Sn1 0.0000 0.5000 0.0000  6 Se 2.91
Ag1 0.0000 0.0000 0.0000  6 Se 2.90-2.92
Se3 0.2492 0.7538 0.4984  3 Ag 2.90-2.93, 1 Sn 2.91, 2 Sm 2.95
Se4 0.7509 0.2464 0.9949  3 Ag 2.89-2.94, 1 Sn 2.91, 2 Sm 2.95
Ag2 0.0000 0.0000 0.5000  6 Se 2.89-2.92
Sm1 0.5000 0.5000 0.5000  6 Se 2.92-2.95
Se5 0.7503 0.7503 0.5006  3 Ag 2.92, 3 Sm 2.92
Sm2 0.5000 0.5000 0.0000  6 Se 2.92-2.95
Sm3 0.0000 0.5000 0.5000  6 Se 2.92-2.95
Se6 0.2440 0.2464 0.9949  3 Ag 2.89-2.94, 1 Sn 2.91, 2 Sm 2.95
Ag3 0.5000 0.0000 0.0000  6 Se 2.93-2.94
Se7 0.7560 0.7536 0.0051  3 Ag 2.89-2.94, 1 Sn 2.91, 2 Sm 2.95
Se8 0.2497 0.2497 0.4994  3 Ag 2.92, 3 Sm 2.92
Ag4 0.5000 0.0000 0.5000  6 Se 2.89-2.92

Results
SG: No. 166
ΔE_f (raw): -931.0 meV/atom


(4)
## NaIn5Hg4 (PBE)

Data for a relaxed NaIn5Hg4 crystal.

a = 4.8993 Å, b = 8.2044 Å, c = 11.0390 Å
α = 137.86°, β = 102.82°, γ = 90.00°
With the nearest neighbours (Å) after each atom.
Sites, in units of the cell vectors:
In1 0.1706 0.3091 0.3411  5 Hg 3.02-3.32, 2 In 3.35
In2 0.8298 0.1323 0.6595  5 Hg 3.02-3.35, 2 In 3.34
Hg1 0.6806 0.1130 0.3612  7 In 3.03-3.27, 1 Na 3.24
Hg2 0.9700 0.6926 0.9400  6 In 3.02-3.35, 2 Na 3.21
Hg3 0.3194 0.8870 0.6388  7 In 3.03-3.27, 1 Na 3.24
In3 0.5000 0.5000 0.0000  6 Hg 3.23-3.27, 4 In 3.42
In4 0.1702 0.8677 0.3405  5 Hg 3.02-3.35, 2 In 3.34
Na1 0.5000 0.0000 0.0000  6 Hg 3.21-3.24, 4 In 3.43
In5 0.8294 0.6909 0.6589  5 Hg 3.02-3.32, 2 In 3.35
Hg4 0.0300 0.3074 0.0600  6 In 3.02-3.35, 2 Na 3.21

Results
SG: No. 12
energy of formation: -0.021 eV per atom
energy relative to the lowest polymorph listed for this composition: 0.334 kcal/mol of atoms


(5)
## BaTmAu (PBE)

Data for a relaxed BaTmAu crystal.

a = 3.8097 Å, b = 3.8097 Å, c = 7.2972 Å
α = 105.13°, β = 105.13°, γ = 90.00°
With the nearest neighbours (Å) after each atom.
Sites, in units of the cell vectors:
Ba1 0.0178 0.0178 0.0356  1 Tm 3.62, 4 Au 3.63, 4 Ba 3.81
Au1 0.6972 0.6972 0.3944  4 Tm 2.95
Tm1 0.2850 0.2850 0.5701  4 Au 2.95

Results
SG: No. 107
energy of formation: -0.476 eV per atom


(6)
## TbPm12Si7 (PBE)

Data for a relaxed TbPm12Si7 crystal.

a = 9.1156 Å, b = 9.1156 Å, c = 9.1156 Å
α = 110.60°, β = 110.60°, γ = 110.60°
With the nearest neighbours (Å) after each atom.
Sites, in units of the cell vectors:
Pm1 0.5301 0.5300 0.8326  3 Si 2.85-2.95
Tb1 0.0000 0.0000 0.0000  6 Si 3.53
Pm2 0.9998 0.7326 0.2671  4 Si 2.95-3.17
Pm3 0.4700 0.1674 0.4699  3 Si 2.85-2.95
Pm4 0.8326 0.5301 0.5300  3 Si 2.85-2.95
Si1 0.4620 0.1320 0.1319  6 Pm 2.95-3.17, 1 Si 3.21
Si2 0.8681 0.5380 0.8680  6 Pm 2.95-3.17, 1 Si 3.21
Pm5 0.1674 0.4699 0.4700  3 Si 2.85-2.95
Pm6 0.7326 0.2671 0.9998  4 Si 2.95-3.17
Si3 0.5380 0.8680 0.8681  6 Pm 2.95-3.17, 1 Si 3.21
Pm7 0.4699 0.4700 0.1674  3 Si 2.85-2.95
Pm8 0.5300 0.8326 0.5301  3 Si 2.85-2.95
Pm9 0.7329 0.0001 0.2674  4 Si 2.95-3.17
Si4 0.8680 0.8681 0.5380  6 Pm 2.95-3.17, 1 Si 3.21
Si5 0.1319 0.4620 0.1320  6 Pm 2.95-3.17, 1 Si 3.21
Si6 0.1320 0.1319 0.4620  6 Pm 2.95-3.17, 1 Si 3.21
Pm10 0.0001 0.2674 0.7329  4 Si 2.95-3.17
Si7 0.5000 0.5000 0.5000  6 Pm 2.85
Pm11 0.2671 0.9998 0.7326  4 Si 2.95-3.17
Pm12 0.2674 0.7329 0.0001  4 Si 2.95-3.17

Results
SG: No. 166
ΔE_f (raw): -370.9 meV/atom


(7)
## TlInOs (PBE)

Data for a relaxed TlInOs crystal.

a = 4.5871 Å, b = 4.5871 Å, c = 4.5871 Å
α = 60.00°, β = 60.00°, γ = 60.00°
With the nearest neighbours (Å) after each atom.
Sites, in units of the cell vectors:
Tl1 0.0000 0.0000 0.0000  4 Os 2.81
Os1 0.7500 0.7500 0.7500  4 Tl 2.81, 4 In 2.81
In1 0.5000 0.5000 0.5000  4 Os 2.81

Results
SG: No. 216
energy of formation: 0.667 eV per atom
energy relative to the lowest polymorph listed for this composition: 0.000 kcal/mol of atoms


(8)
## LaZr2FeRh (PBE)

Data for a relaxed LaZr2FeRh crystal.

a = 5.1108 Å, b = 4.2834 Å, c = 5.1108 Å
α = 90.00°, β = 90.00°, γ = 90.00°
With the nearest neighbours (Å) after each atom.
Sites, in units of the cell vectors:
Zr1 0.0000 0.0000 0.5000  2 La 2.56
Fe1 0.0000 0.5000 0.0000  2 La 2.14
Zr2 0.5000 0.0000 0.0000  2 La 2.56
Rh1 0.5000 0.5000 0.5000  8 Zr 3.33, 4 Fe 3.61
La1 0.0000 0.0000 0.0000  2 Fe 2.14

Results
SG: No. 123
energy of formation: 1.403 eV per atom


(9)
## Li2Ag4Sb (PBE)

Data for a relaxed Li2Ag4Sb crystal.

a = 11.6996 Å, b = 4.9616 Å, c = 4.9373 Å
α = 108.60°, β = 90.00°, γ = 90.00°
With the nearest neighbours (Å) after each atom.
Sites, in units of the cell vectors:
Ag1 0.6882 0.6392 0.3670  6 Ag 2.79-2.98, 1 Sb 2.79, 3 Li 2.86-3.02
Ag2 0.3118 0.3608 0.6330  6 Ag 2.79-2.98, 1 Sb 2.79, 3 Li 2.86-3.02
Ag3 0.1871 0.3789 0.1482  6 Ag 2.79-2.98, 1 Sb 2.83, 2 Li 2.87-2.98
Li1 0.4460 0.8476 0.6508  1 Li 2.75, 5 Ag 2.86-3.02, 1 Sb 2.87
Ag4 0.8119 0.1392 0.3670  6 Ag 2.79-2.98, 1 Sb 2.79, 3 Li 2.86-3.02
Ag5 0.8129 0.6211 0.8518  6 Ag 2.79-2.98, 1 Sb 2.83, 2 Li 2.87-2.98
Ag6 0.3129 0.8789 0.1481  6 Ag 2.79-2.98, 1 Sb 2.83, 2 Li 2.87-2.98
Li2 0.5540 0.1524 0.3492  1 Li 2.75, 5 Ag 2.86-3.02, 1 Sb 2.87
Ag7 0.6871 0.1211 0.8519  6 Ag 2.79-2.98, 1 Sb 2.83, 2 Li 2.87-2.98
Li3 0.9460 0.6523 0.3491  1 Li 2.75, 5 Ag 2.86-3.02, 1 Sb 2.87
Li4 0.0540 0.3477 0.6509  1 Li 2.75, 5 Ag 2.86-3.02, 1 Sb 2.87
Ag8 0.1881 0.8608 0.6330  6 Ag 2.79-2.98, 1 Sb 2.79, 3 Li 2.86-3.02
Sb1 0.5000 0.5000 0.0000  4 Ag 2.79-2.83, 2 Li 2.87
Sb2 0.0000 0.0000 0.0000  4 Ag 2.79-2.83, 2 Li 2.87

Results
SG: No. 14
ΔE_f (raw): -125.5 meV/atom
energy relative to the lowest polymorph listed for this composition: 0.000 kcal/mol of atoms


(10)
## SrLi2Ti3O8 (PBE)

Data for a relaxed SrLi2Ti3O8 crystal.

a = 6.0591 Å, b = 6.0591 Å, c = 6.6698 Å
α = 62.99°, β = 62.99°, γ = 60.00°
With the nearest neighbours (Å) after each atom.
Sites, in units of the cell vectors:
O1 0.7296 0.7296 0.8111  3 Ti 2.05
O2 0.2445 0.7021 0.8088  1 Li 1.90, 2 Ti 1.95
Li1 0.5277 0.5277 0.4169  3 O 2.04
Li2 0.0725 0.0725 0.7826  3 O 1.90
O3 0.7021 0.2445 0.8088  1 Li 1.90, 2 Ti 1.95
Ti1 0.5004 0.5004 0.9899  6 O 1.95-2.05
O4 0.3147 0.7528 0.1797  2 Ti 1.99, 1 Li 2.04
Ti2 0.0093 0.5004 0.9899  6 O 1.95-2.05
O5 0.2741 0.2741 0.1778  3 Ti 2.02
Sr1 0.8672 0.8672 0.3983  4 O 2.32-2.34
Ti3 0.5004 0.0093 0.9899  6 O 1.95-2.05
O6 0.7528 0.7528 0.1797  2 Ti 1.99, 1 Li 2.04
O7 0.7528 0.3147 0.1797  2 Ti 1.99, 1 Li 2.04
O8 0.2445 0.2445 0.8088  1 Li 1.90, 2 Ti 1.95

Results
SG: No. 160
ΔE_f (raw): -2782.2 meV/atom


(11)
## BaTl2AsO (PBE)

Data for a relaxed BaTl2AsO crystal.

a = 5.2269 Å, b = 4.8525 Å, c = 5.2269 Å
α = 90.00°, β = 90.00°, γ = 90.00°
With the nearest neighbours (Å) after each atom.
Sites, in units of the cell vectors:
Ba1 0.5000 0.5000 0.5000  8 Tl 3.57, 4 As 3.70
As1 0.0000 0.5000 0.0000  2 O 2.43
O1 0.0000 0.0000 0.0000  2 As 2.43, 4 Tl 2.61
Tl1 0.5000 0.0000 0.0000  2 O 2.61
Tl2 0.0000 0.0000 0.5000  2 O 2.61

Results
SG: No. 123
ΔE_f (raw): -337.4 meV/atom


Question: Which formula does entry 2 have?
Answer: Y2Bi2S


Question: Which formula does entry 4 have?
Answer: NaIn5Hg4